# Rb2MgOs, optimized geometry, DFT GGA-PBE
# Formation energy from the elements (eV/atom): 1.188
# SG: No. 122
# Energy (eV for the cell shown): -20.0
# Volume (Å³ per atom): 52.08
data_Rb2MgOs
_space_group_name_H-M_alt 'P 1'
_space_group_IT_number 1
_cell_length_a 12.732
_cell_length_b 12.732
_cell_length_c 9.363
_cell_angle_alpha 47.16
_cell_angle_beta 47.16
_cell_angle_gamma 90.00
loop_
_space_group_symop_operation_xyz
'x,y,z'
loop_
_atom_site_label
_atom_site_fract_x
_atom_site_fract_y
_atom_site_fract_z
Mg1 0.500 0.500 0.000
Mg2 0.250 0.750 0.500
Os1 0.000 0.000 0.000
Os2 0.750 0.250 0.500
Rb1 0.819 0.125 0.250
Rb2 0.931 0.625 0.250
Rb3 0.375 0.181 0.750
Rb4 0.875 0.069 0.750

***

# Li2Tl3Br2Cl4, optimized geometry, DFT GGA-PBE
# SG: No. 139
# ΔE_f (raw) (eV/f.u.): -12.28
# Energy (eV for the cell shown): -33.9
# Volume (Å³ per atom): 27.57
data_Li2Tl3Br2Cl4
_space_group_name_H-M_alt 'P 1'
_space_group_IT_number 1
_cell_length_a 4.885
_cell_length_b 4.885
_cell_length_c 13.168
_cell_angle_alpha 100.69
_cell_angle_beta 100.69
_cell_angle_gamma 90.00
loop_
_space_group_symop_operation_xyz
'x,y,z'
loop_
_atom_site_label
_atom_site_fract_x
_atom_site_fract_y
_atom_site_fract_z
Li1 0.407 0.407 0.814
Li2 0.593 0.593 0.186
Tl1 0.000 0.000 0.000
Tl2 0.177 0.177 0.354
Tl3 0.823 0.823 0.646
Br1 0.306 0.306 0.611
Br2 0.694 0.694 0.389
Cl1 0.430 0.930 0.859
Cl2 0.930 0.430 0.859
Cl3 0.070 0.570 0.141
Cl4 0.570 0.070 0.141